(1)
A plane-wave DFT calculation with PBE-GGA was carried out for a geometry-optimized YZr2Fe structure.

As for the crystal system: tetragonal. The calculation puts the spin magnetization at 1.03 μB per cell. The total energy is -31.86 eV per cell. The polymorph energy (0 for the lowest one) is 53 meV per atom. The formation enthalpy at 0 K comes out at 15.4 kJ/mol of formula units.

The structure belongs to space group P4mm (No. 99); the cell edges are 3.314, 3.314 and 7.894 Å and the angles 90.00°, 90.00° and 90.00°. Symmetry generates all atoms from Y at (0.000, 0.000, 0.000), Zr at (0.000, 0.000, 0.592), Zr at (0.500, 0.500, 0.328) and Fe at (0.500, 0.500, 0.766).

---

(2)
A plane-wave DFT calculation with PBE-GGA was carried out for a geometry-optimized CaPAu2S4 structure.

As for the crystal system: orthorhombic. The formation energy from raw total energies comes out at -0.45 eV per atom. The calculation puts the spin magnetization at 0.00 μB per cell. The total energy is -68.10 eV per cell.

The structure belongs to space group I222 (No. 23); the cell edges are 6.209, 7.040 and 8.960 Å and the angles 90.00°, 90.00° and 90.00°. Symmetry generates all atoms from Ca at (0.000, 0.000, 0.000), P at (0.000, 0.500, 0.000), Au at (0.000, 0.218, 0.500) and S at (0.190, 0.307, 0.854).